VASP calculation (PBE) on a relaxed MnTl2Pd6 crystal.

Summary:
VASP energy (eV/atom): -5.074
Volume (Å³/f.u.): 161

Cell: 8.132 8.132 2.982 Å, 100.10 100.10 56.18°
Atoms (fractional coordinates):
Mn (0.000, 0.000, 0.000)
Tl (0.336, 0.336, 0.343)
Tl (0.664, 0.664, 0.657)
Pd (0.021, 0.652, 0.841)
Pd (0.287, 0.713, 0.500)
Pd (0.348, 0.979, 0.159)
Pd (0.652, 0.021, 0.841)
Pd (0.713, 0.287, 0.500)
Pd (0.979, 0.348, 0.159)

VASP calculation (PBE) on a relaxed MnTl6Pd12 crystal.

Summary:
VASP energy (eV/atom): -4.634
Volume (Å³/f.u.): 357

Cell: 7.511 7.511 7.511 Å, 106.60 106.60 106.60°
Atoms (fractional coordinates):
Mn (0.000, 0.000, 0.000)
Tl (0.099, 0.468, 0.210)
Tl (0.210, 0.099, 0.468)
Tl (0.468, 0.210, 0.099)
Tl (0.532, 0.790, 0.901)
Tl (0.790, 0.901, 0.532)
Tl (0.901, 0.532, 0.790)
Pd (0.131, 0.262, 0.844)
Pd (0.156, 0.869, 0.738)
Pd (0.178, 0.481, 0.603)
Pd (0.262, 0.844, 0.131)
Pd (0.397, 0.822, 0.519)
Pd (0.481, 0.603, 0.178)
Pd (0.519, 0.397, 0.822)
Pd (0.603, 0.178, 0.481)
Pd (0.738, 0.156, 0.869)
Pd (0.822, 0.519, 0.397)
Pd (0.844, 0.131, 0.262)
Pd (0.869, 0.738, 0.156)

VASP calculation (PBE) on a relaxed MnTlPd2 crystal.

Summary:
VASP energy (eV/atom): -5.191
Volume (Å³/f.u.): 74

Cell: 6.037 6.037 6.037 Å, 152.14 133.35 55.22°
Atoms (fractional coordinates):
Mn (0.000, 0.000, 0.000)
Tl (0.500, 0.500, 0.000)
Pd (0.234, 0.234, 0.000)
Pd (0.766, 0.766, 0.000)

VASP calculation (PBE) on a relaxed MnTl2Pd5 crystal.

Summary:
VASP energy (eV/atom): -5.103
Volume (Å³/f.u.): 138

Cell: 7.361 7.361 7.361 Å, 143.80 143.80 52.13°
Atoms (fractional coordinates):
Mn (0.000, 0.000, 0.000)
Tl (0.254, 0.254, 0.000)
Tl (0.746, 0.746, 0.000)
Pd (0.116, 0.616, 0.500)
Pd (0.384, 0.884, 0.500)
Pd (0.500, 0.500, 0.000)
Pd (0.616, 0.116, 0.500)
Pd (0.884, 0.384, 0.500)